# 1
A plane-wave DFT calculation with GGA-PBE was carried out for a relaxed LiTcPd crystal.

Cell lengths 2.994, 2.994, 9.259 Å; angles 90.00, 90.00, 90.00 degrees
Sites, in units of the cell vectors:
Li: 0.000 0.000 0.000
Li: 0.000 0.000 0.306
Tc: 0.000 0.000 0.630
Tc: 0.500 0.500 0.480
Pd: 0.500 0.500 0.163
Pd: 0.500 0.500 0.838

Output
The calculation puts the distance to the lowest polymorph of the same formula at 0.0 kJ/mol of formula units. The calculation puts the density of states at the Fermi level at 0.597 states/eV/atom. The value obtained for the energy of formation from the pure elements is -11 kJ per mole of atoms.


# 2
A plane-wave DFT calculation with GGA-PBE was carried out for a relaxed LiTcPd crystal.

Cell lengths 4.896, 2.706, 6.639 Å; angles 90.00, 92.53, 90.00 degrees
Sites, in units of the cell vectors:
Li: 0.000 0.000 0.000
Li: 0.163 0.500 0.660
Tc: 0.411 0.000 0.329
Tc: 0.642 0.000 0.630
Pd: 0.509 0.500 0.971
Pd: 0.921 0.500 0.328

Output
The calculation puts the distance to the lowest polymorph of the same formula at 17.3 kJ/mol of formula units. The calculation puts the density of states at the Fermi level at 0.573 states/eV/atom. The value obtained for the energy of formation from the pure elements is -6 kJ per mole of atoms.


# 3
A plane-wave DFT calculation with GGA-PBE was carried out for a relaxed Li2TcPd2 crystal.

Cell lengths 7.227, 7.227, 2.656 Å; angles 90.00, 90.00, 90.00 degrees
Sites, in units of the cell vectors:
Li: 0.146 0.354 0.000
Li: 0.354 0.854 0.000
Li: 0.646 0.146 0.000
Li: 0.854 0.646 0.000
Tc: 0.000 0.000 0.500
Tc: 0.500 0.500 0.500
Pd: 0.153 0.653 0.500
Pd: 0.347 0.153 0.500
Pd: 0.653 0.847 0.500
Pd: 0.847 0.347 0.500

Output
The calculation puts the distance to the lowest polymorph of the same formula at 51.8 kJ/mol of formula units. The calculation puts the density of states at the Fermi level at 0.647 states/eV/atom. The value obtained for the energy of formation from the pure elements is 6 kJ per mole of atoms.


# 4
A plane-wave DFT calculation with GGA-PBE was carried out for a relaxed LiTcPd crystal.

Cell lengths 2.688, 4.123, 7.710 Å; angles 90.00, 91.18, 90.00 degrees
Sites, in units of the cell vectors:
Li: 0.000 0.000 0.000
Li: 0.492 0.000 0.682
Tc: 0.199 0.500 0.193
Tc: 0.524 0.000 0.334
Pd: 0.049 0.500 0.543
Pd: 0.606 0.500 0.877

Output
The calculation puts the distance to the lowest polymorph of the same formula at 7.2 kJ/mol of formula units. The calculation puts the density of states at the Fermi level at 0.799 states/eV/atom. The value obtained for the energy of formation from the pure elements is -9 kJ per mole of atoms.